# 1
Density functional theory data (GGA-PBE) for crystalline MnTl2Se at its relaxed geometry.

abc: 5.299 5.299 5.299
angles: 60.00 60.00 60.00
Fractional positions:
Mn (0.000, 0.000, 0.000)
Tl (0.250, 0.250, 0.250)
Tl (0.750, 0.750, 0.750)
Se (0.500, 0.500, 0.500)

Formation energy (no corrections), eV/f.u.: 1.41
Energy above the lowest structure with this stoichiometry, eV/atom: 0.407
N(E_F), states/eV/atom: 0.471

=====

# 2
Density functional theory data (GGA-PBE) for crystalline SrVFe2Pd at its relaxed geometry.

abc: 4.869 4.869 4.681
angles: 90.00 90.00 90.00
Fractional positions:
Sr (0.000, 0.000, 0.000)
V (0.500, 0.500, 0.000)
Fe (0.000, 0.500, 0.500)
Fe (0.500, 0.000, 0.500)
Pd (0.500, 0.500, 0.500)

Formation enthalpy at 0 K, eV/atom: 0.92
N(E_F), states/eV/atom: 2.393

=====

# 3
Density functional theory data (GGA-PBE) for crystalline NdSmAlIn at its relaxed geometry.

abc: 5.352 5.352 5.352
angles: 60.00 60.00 60.00
Fractional positions:
Nd (0.000, 0.000, 0.000)
Sm (0.500, 0.500, 0.500)
Al (0.750, 0.750, 0.750)
In (0.250, 0.250, 0.250)

Formation enthalpy at 0 K, eV/atom: -0.41
Energy above the lowest structure with this stoichiometry, eV/atom: 0.009
N(E_F), states/eV/atom: 0.335

=====

# 4
Density functional theory data (GGA-PBE) for crystalline LiTaBeRh2 at its relaxed geometry.

abc: 4.719 4.719 4.693
angles: 90.00 90.00 90.00
Fractional positions:
Li (0.000, 0.000, 0.000)
Ta (0.500, 0.500, 0.500)
Be (0.500, 0.500, 0.000)
Rh (0.000, 0.500, 0.500)
Rh (0.500, 0.000, 0.500)

Formation enthalpy at 0 K, eV/atom: 0.91
N(E_F), states/eV/atom: 0.760

=====

# 5
Density functional theory data (GGA-PBE) for crystalline Mg2TlAu2 at its relaxed geometry.

abc: 7.636 7.636 7.636
angles: 149.85 149.85 43.16
Fractional positions:
Mg (0.112, 0.112, 0.000)
Mg (0.888, 0.888, 0.000)
Tl (0.500, 0.500, 0.000)
Au (0.250, 0.750, 0.500)
Au (0.750, 0.250, 0.500)

Formation enthalpy at 0 K, eV/atom: -0.23
N(E_F), states/eV/atom: 0.388

=====

# 6
Density functional theory data (GGA-PBE) for crystalline KRhSe2 at its relaxed geometry.

abc: 6.693 3.630 8.744
angles: 90.00 107.39 90.00
Fractional positions:
K (0.174, 0.250, 0.332)
K (0.826, 0.750, 0.668)
Rh (0.375, 0.250, 0.873)
Rh (0.625, 0.750, 0.127)
Se (0.241, 0.750, 0.012)
Se (0.327, 0.750, 0.667)
Se (0.673, 0.250, 0.333)
Se (0.759, 0.250, 0.988)

Formation energy (no corrections), eV/f.u.: -2.47
N(E_F), states/eV/atom: 1.279

=====

| no. | electronic total energy (eV/atom) |
| --- | --- |
| 1 | -3.9941 |
| 2 | -5.6658 |
| 3 | -4.4056 |
| 4 | -5.5315 |
| 5 | -2.6500 |
| 6 | -4.4729 |